<P>
Here is a relaxed structure of CrAgOs2 from Alexandria via LeMat-Bulk. Energies are from PBE-GGA.

Properties
**M_tot**: 0.0 μB/f.u.

```
data_CrAgOs2
_symmetry_space_group_name_H-M 'I -4 2 d'
_symmetry_Int_Tables_number 122
_symmetry_space_group_name_Hall 'I -4 2bw'
_cell_length_a 7.059
_cell_length_b 7.059
_cell_length_c 5.162
_cell_angle_alpha 90.00
_cell_angle_beta 90.00
_cell_angle_gamma 90.00
loop_
_atom_site_label
_atom_site_type_symbol
_atom_site_fract_x
_atom_site_fract_y
_atom_site_fract_z
Cr1 Cr 0.000 0.000 0.000
Ag1 Ag 0.000 0.000 0.500
Os1 Os 0.193 0.750 0.125
```


<Q>
Here is a relaxed structure of CrAgOs2 from Alexandria via LeMat-Bulk. Energies are from PBE-GGA.

Properties
**M_tot**: 1.9 μB/f.u.

```
data_CrAgOs2
_symmetry_space_group_name_H-M 'I -4 m 2'
_symmetry_Int_Tables_number 119
_symmetry_space_group_name_Hall 'I -4 -2'
_cell_length_a 3.875
_cell_length_b 3.875
_cell_length_c 7.747
_cell_angle_alpha 90.00
_cell_angle_beta 90.00
_cell_angle_gamma 90.00
loop_
_atom_site_label
_atom_site_type_symbol
_atom_site_fract_x
_atom_site_fract_y
_atom_site_fract_z
Cr1 Cr 0.000 0.000 0.000
Ag1 Ag 0.000 0.500 0.250
Os1 Os 0.000 0.000 0.500
Os2 Os 0.000 0.500 0.750
```


Ranked by calculated energy, most stable first: <Q>, <P>.


<P>
Here is a relaxed structure of SrZrOs2 from Alexandria via LeMat-Bulk. Energies are from PBE-GGA.

Properties
**M_tot**: 0.0 μB/f.u.

```
data_SrZrOs2
_symmetry_space_group_name_H-M 'I -4 2 d'
_symmetry_Int_Tables_number 122
_symmetry_space_group_name_Hall 'I -4 2bw'
_cell_length_a 4.975
_cell_length_b 4.975
_cell_length_c 18.043
_cell_angle_alpha 90.00
_cell_angle_beta 90.00
_cell_angle_gamma 90.00
loop_
_atom_site_label
_atom_site_type_symbol
_atom_site_fract_x
_atom_site_fract_y
_atom_site_fract_z
Sr1 Sr 0.000 0.000 0.000
Zr1 Zr 0.000 0.000 0.500
Os1 Os 0.014 0.250 0.625
```


<Q>
Here is a relaxed structure of SrZrOs2 from Alexandria via LeMat-Bulk. Energies are from PBE-GGA.

Properties
**M_tot**: 0.0 μB/f.u.

```
data_SrZrOs2
_symmetry_space_group_name_H-M 'C 1 m 1'
_symmetry_Int_Tables_number 8
_symmetry_space_group_name_Hall 'C -2y'
_cell_length_a 10.587
_cell_length_b 3.162
_cell_length_c 5.356
_cell_angle_alpha 90.00
_cell_angle_beta 106.53
_cell_angle_gamma 90.00
loop_
_atom_site_label
_atom_site_type_symbol
_atom_site_fract_x
_atom_site_fract_y
_atom_site_fract_z
Sr1 Sr 0.000 0.000 0.000
Zr1 Zr 0.200 0.000 0.665
Os1 Os 0.275 0.500 0.336
Os2 Os 0.476 0.000 0.469
```


Ranked by calculated energy, most stable first: <Q>, <P>.